Record 1
This record from Alexandria describes a relaxed YHPd2O crystal. The functional is PBE-GGA.

Computed properties:
**Mass density**: 5.4 g/cm3

Cell and atoms, written as CIF:
```
data_YHPd2O
_space_group_name_H-M_alt 'P 4/m m m'
_space_group_IT_number 123
_space_group_name_Hall '-P 4 2'
_cell_length_a 5.110
_cell_length_b 5.110
_cell_length_c 3.783
_cell_angle_alpha 90.00
_cell_angle_beta 90.00
_cell_angle_gamma 90.00
loop_
_atom_site_label
_atom_site_type_symbol
_atom_site_fract_x
_atom_site_fract_y
_atom_site_fract_z
_atom_site_occupancy
Y1 Y 0.000 0.000 0.000 1
H1 H 0.000 0.000 0.500 1
Pd1 Pd 0.000 0.500 0.000 1
O1 O 0.500 0.500 0.500 1
```


Record 2
This record from Alexandria describes a relaxed TbEuPbAu crystal. The functional is PBE-GGA.

Computed properties:
**Mass density**: 10.8 g/cm3
**ΔH_f (0 K)**: -0.6410 eV per atom

Cell and atoms, written as CIF:
```
data_TbEuPbAu
_space_group_name_H-M_alt 'F -4 3 m'
_space_group_IT_number 216
_space_group_name_Hall 'F -4 2 3'
_cell_length_a 7.608
_cell_length_b 7.608
_cell_length_c 7.608
_cell_angle_alpha 90.00
_cell_angle_beta 90.00
_cell_angle_gamma 90.00
loop_
_atom_site_label
_atom_site_type_symbol
_atom_site_fract_x
_atom_site_fract_y
_atom_site_fract_z
_atom_site_occupancy
Tb1 Tb 0.000 0.000 0.000 1
Eu1 Eu 0.000 0.000 0.500 1
Pb1 Pb 0.250 0.250 0.250 1
Au1 Au 0.250 0.250 0.750 1
```


Record 3
This record from Alexandria describes a relaxed NbGeAu crystal. The functional is PBE-GGA.

Computed properties:
**Mass density**: 11.4 g/cm3
**ΔH_f (0 K)**: -0.0761 eV per atom

Cell and atoms, written as CIF:
```
data_NbGeAu
_space_group_name_H-M_alt 'P 4/n m m'
_space_group_IT_number 129
_cell_length_a 3.838
_cell_length_b 3.838
_cell_length_c 7.164
_cell_angle_alpha 90.00
_cell_angle_beta 90.00
_cell_angle_gamma 90.00
loop_
_space_group_symop_operation_xyz
'x,y,z'
'-x,-y,-z'
'-y+1/2,x,z'
'y+1/2,-x,-z'
'-x+1/2,-y+1/2,z'
'x+1/2,y+1/2,-z'
'y,-x+1/2,z'
'-y,x+1/2,-z'
'x+1/2,-y,-z'
'-x+1/2,y,z'
'-y,-x,-z'
'y,x,z'
'-x,y+1/2,-z'
'x,-y+1/2,z'
'y+1/2,x+1/2,-z'
'-y+1/2,-x+1/2,z'
loop_
_atom_site_label
_atom_site_type_symbol
_atom_site_fract_x
_atom_site_fract_y
_atom_site_fract_z
_atom_site_occupancy
Nb1 Nb 0.250 0.250 0.134 1
Ge1 Ge 0.250 0.250 0.773 1
Au1 Au 0.250 0.750 0.500 1
```


Record 4
This record from Alexandria describes a relaxed ZrIrCl crystal. The functional is PBE-GGA.

Computed properties:
**Mass density**: 7.6 g/cm3
**Formation energy from raw total energies**: -968 meV/atom

Cell and atoms, written as CIF:
```
data_ZrIrCl
_space_group_name_H-M_alt 'P 1'
_space_group_IT_number 1
_space_group_name_Hall 'P 1'
_cell_length_a 3.686
_cell_length_b 3.687
_cell_length_c 12.037
_cell_angle_alpha 81.32
_cell_angle_beta 81.38
_cell_angle_gamma 60.06
loop_
_atom_site_label
_atom_site_type_symbol
_atom_site_fract_x
_atom_site_fract_y
_atom_site_fract_z
_atom_site_occupancy
Zr1 Zr 0.000 0.000 0.000 1
Zr2 Zr 0.127 0.131 0.611 1
Ir1 Ir 0.376 0.377 0.868 1
Ir2 Ir 0.751 0.754 0.740 1
Cl1 Cl 0.283 0.282 0.155 1
Cl2 Cl 0.508 0.513 0.462 1
```


no.,size of the total moment (μB/cell),electronic total energy (eV per cell),DOS(E_F) (states/eV per cell)
1,0.31,-21.52,1.872
2,28.76,-97.82,35.160
3,0.00,-36.39,2.113
4,0.00,-44.32,0.383